1.
ZnFeSbW PBE relaxed; space-group type = F-43m (216)
1.0
6.3137 0.0000 0.0000
0.0000 6.3137 0.0000
0.0000 0.0000 6.3137
Zn Fe Sb W
4 4 4 4
direct
0.0000 0.0000 0.0000 Zn
0.0000 0.5000 0.5000 Zn
0.5000 0.0000 0.5000 Zn
0.5000 0.5000 0.0000 Zn
0.0000 0.0000 0.5000 Fe
0.0000 0.5000 0.0000 Fe
0.5000 0.0000 0.0000 Fe
0.5000 0.5000 0.5000 Fe
0.2500 0.2500 0.2500 Sb
0.2500 0.7500 0.7500 Sb
0.7500 0.2500 0.7500 Sb
0.7500 0.7500 0.2500 Sb
0.2500 0.2500 0.7500 W
0.2500 0.7500 0.2500 W
0.7500 0.2500 0.2500 W
0.7500 0.7500 0.7500 W

***

2.
ZrFeSbW PBE relaxed; space-group type = F-43m (216)
1.0
6.4932 0.0000 0.0000
0.0000 6.4932 0.0000
0.0000 0.0000 6.4932
Zr Fe Sb W
4 4 4 4
direct
0.0000 0.0000 0.0000 Zr
0.0000 0.5000 0.5000 Zr
0.5000 0.0000 0.5000 Zr
0.5000 0.5000 0.0000 Zr
0.2500 0.2500 0.7500 Fe
0.2500 0.7500 0.2500 Fe
0.7500 0.2500 0.2500 Fe
0.7500 0.7500 0.7500 Fe
0.0000 0.0000 0.5000 Sb
0.0000 0.5000 0.0000 Sb
0.5000 0.0000 0.0000 Sb
0.5000 0.5000 0.5000 Sb
0.2500 0.2500 0.2500 W
0.2500 0.7500 0.7500 W
0.7500 0.2500 0.7500 W
0.7500 0.7500 0.2500 W

***

| no. | polymorph energy (0 for the lowest one) (meV/atom) |
| --- | --- |
| 1 | 127 |
| 2 | 0 |